Entry 1:
# PBE-GGA AgH4Ir, relaxed
data_AgH4Ir
_chemical_formula_sum 'Ag4 H16 Ir4'
_symmetry_space_group_name_H-M 'C 1 2/c 1'
_symmetry_Int_Tables_number 15
_cell_length_a 5.5091
_cell_length_b 10.5543
_cell_length_c 5.0935
_cell_angle_alpha 90.00
_cell_angle_beta 115.08
_cell_angle_gamma 90.00
loop_
_symmetry_equiv_pos_as_xyz
'x,y,z'
'-x,-y,-z'
'-x,y,-z+1/2'
'x,-y,z+1/2'
'x+1/2,y+1/2,z'
'-x+1/2,-y+1/2,-z'
'-x+1/2,y+1/2,-z+1/2'
'x+1/2,-y+1/2,z+1/2'
loop_
_atom_site_label
_atom_site_fract_x
_atom_site_fract_y
_atom_site_fract_z
Ag1 0.0000 0.0581 0.2500
H1 0.1144 0.3995 0.6075
H2 0.1707 0.3297 0.2063
Ir1 0.0000 0.4415 0.2500
# **Final energy**: -4.082 eV per atom
# **Calculated volume**: 268 Å³/cell
# **Theoretical density**: 7.53 g cm⁻³

Entry 2:
# PBE-GGA Ag2H5Ir, relaxed
data_Ag2H5Ir
_chemical_formula_sum 'Ag4 H10 Ir2'
_symmetry_space_group_name_H-M 'C 1 m 1'
_symmetry_Int_Tables_number 8
_cell_length_a 8.0298
_cell_length_b 7.4616
_cell_length_c 3.1698
_cell_angle_alpha 90.00
_cell_angle_beta 113.25
_cell_angle_gamma 90.00
loop_
_symmetry_equiv_pos_as_xyz
'x,y,z'
'x,-y,z'
'x+1/2,y+1/2,z'
'x+1/2,-y+1/2,z'
loop_
_atom_site_label
_atom_site_fract_x
_atom_site_fract_y
_atom_site_fract_z
Ag1 0.0000 0.2127 0.0000
H1 0.0150 0.0000 0.5169
H2 0.2405 0.2301 0.7425
H3 0.3442 0.0000 0.3458
H4 0.4796 0.0000 0.9811
Ir1 0.2501 0.0000 0.7519
# **Final energy**: -3.842 eV per atom
# **Calculated volume**: 174 Å³/cell
# **Theoretical density**: 7.86 g cm⁻³